[1]
Density functional theory data (PBE) for a relaxed structure of KNaAuBr.

```
KNaAuBr
1.0
5.492 0.000 0.000
2.746 4.757 0.000
2.746 1.586 4.484
Na K Au Br
1 1 1 1
Cartesian
8.239 4.757 3.363
2.746 1.586 1.121
0.000 0.000 0.000
5.492 3.171 2.242
```

Values from the calculation:
**Space group**: F-43m (216)
**ΔE_f (raw)**: -3.29 eV/f.u.
**M_tot**: 0.00 μB per cell
**N(E_F)**: 0.0000 states/eV per atom

***

[2]
Density functional theory data (PBE) for a relaxed structure of Dy5Hg4Au.

```
Dy5Hg4Au
1.0
-2.598 -1.192 2.334
-1.103 -2.483 -2.496
11.957 -12.351 7.002
Dy Hg Au
5 4 1
Cartesian
-0.736 -2.989 0.571
1.694 -5.499 1.994
4.128 -8.013 3.419
6.562 -10.527 4.845
8.992 -13.037 6.268
2.367 -2.445 1.386
4.765 -4.922 2.790
7.192 -7.429 4.211
9.590 -9.906 5.616
0.000 0.000 0.000
```

Values from the calculation:
**Space group**: P4/mmm (123)
**M_tot**: 0.00 μB per cell
**E_form**: -5.58 eV/f.u.
**N(E_F)**: 0.8926 states/eV per atom

***

[3]
Density functional theory data (PBE) for a relaxed structure of PmPaTiN3.

```
PmPaTiN3
1.0
-0.176 -2.833 -2.144
2.687 -4.025 5.097
-8.965 -0.493 1.385
Pm Pa Ti N
2 2 2 6
Cartesian
-5.644 -5.895 3.824
-0.810 -1.456 0.514
0.426 -3.479 3.085
-6.880 -3.872 1.252
-5.475 -1.148 0.489
-0.979 -6.203 3.849
-1.371 -4.352 4.386
1.023 -5.815 3.172
0.030 -3.948 0.787
-5.082 -2.998 -0.049
-6.483 -3.403 3.551
-7.476 -1.536 1.166
```

Values from the calculation:
**Space group**: P2_1/m (11)
**ΔE_f (raw)**: -7.86 eV/f.u.
**M_tot**: 0.00 μB per cell
**N(E_F)**: 0.6329 states/eV per atom

***

[4]
Density functional theory data (PBE) for a relaxed structure of Pm2Y7Th.

```
Pm2Y7Th
1.0
-2.610 2.205 0.707
-7.905 -5.776 -11.176
4.570 0.888 14.109
Pm Y Th
2 7 1
Cartesian
-5.530 -2.707 -3.363
-0.415 0.025 7.003
-5.567 -4.527 -6.437
2.232 -0.361 9.370
-0.900 0.560 3.543
-5.045 -3.243 0.097
-3.340 -0.743 -1.403
-2.605 -1.939 5.043
-2.972 -1.341 1.820
0.000 0.000 0.000
```

Values from the calculation:
**Space group**: Cmmm (65)
**Energy above the most stable polymorph in this dataset**: 0.00 eV/f.u.
**M_tot**: 0.00 μB per cell
**E_form**: 1.69 eV/f.u.
**N(E_F)**: 1.6997 states/eV per atom